A plane-wave DFT calculation with PBE was carried out for a relaxed structure of CaLa2Y6.

a b c (Å): 7.325 11.693 12.758
angles (deg): 133.62 115.58 51.17
Fractional positions:
Y 0.387 0.978 0.148
Y 0.286 0.357 0.186
Y 0.743 0.511 0.003
La 0.043 0.318 0.483
Y 0.780 0.355 0.184
Y 0.714 0.643 0.814
Y 0.220 0.645 0.816
Ca 0.123 0.021 0.857
La 0.957 0.682 0.517
Y 0.543 0.319 0.483
Ca 0.877 0.979 0.143
Y 0.257 0.489 0.997
La 0.428 0.829 0.336
Y 0.613 0.022 0.852
Y 0.918 0.831 0.334
La 0.572 0.171 0.664
Y 0.457 0.681 0.517
Y 0.082 0.169 0.666

Calculated values
The formation enthalpy at 0 K comes out at 0.4 eV per formula unit. The space group is No. 2. The uncorrected energy comes out at -5.587 eV/atom. Its volume is 616.2 Å³ per cell.